Material: LiPRu2S
Method: DFT, PBE
State: optimized geometry

```
5
Lattice="4.343 0.000 0.000 0.000 4.343 0.000 0.000 0.000 4.230" Properties=species:S:1:pos:R:3 pbc="T T T"
Li 0.000 0.000 0.000
P 2.172 2.172 0.000
Ru 0.000 2.172 2.115
Ru 2.172 0.000 2.115
S 0.000 0.000 2.115
```

Uncorrected formation energy, eV per atom: 0.36

Material: LiSn2PRu
Method: DFT, PBE
State: optimized geometry

```
5
Lattice="5.303 0.000 0.000 0.000 5.303 0.000 0.000 0.000 4.454" Properties=species:S:1:pos:R:3 pbc="T T T"
Li 0.000 0.000 0.000
Sn 0.000 2.651 2.227
Sn 2.651 0.000 2.227
P 2.651 2.651 0.000
Ru 2.651 2.651 2.227
```

Formation energy, meV per atom: 202

Material: SrLiPRu
Method: DFT, PBE
State: optimized geometry

```
8
Lattice="4.043 0.000 0.000 0.000 4.043 0.000 0.000 0.000 11.796" Properties=species:S:1:pos:R:3 pbc="T T T"
Sr 1.011 1.011 2.694
Sr 3.032 3.032 9.102
Li 1.011 3.032 5.898
Li 3.032 1.011 5.898
P 1.011 1.011 10.606
P 3.032 3.032 1.190
Ru 1.011 3.032 0.000
Ru 3.032 1.011 0.000
```

Formation energy, meV per atom: -592

Material: LiTcP2Ru
Method: DFT, PBE
State: optimized geometry

```
10
Lattice="4.089 0.000 0.000 0.000 4.089 0.000 0.000 0.000 8.974" Properties=species:S:1:pos:R:3 pbc="T T T"
Li 0.000 0.000 0.000
Li 2.044 2.044 4.487
Tc 0.000 2.044 2.243
Tc 2.044 0.000 6.730
P 0.000 0.000 3.357
P 0.000 0.000 5.617
P 2.044 2.044 1.130
P 2.044 2.044 7.844
Ru 0.000 2.044 6.730
Ru 2.044 0.000 2.243
```

Formation energy, meV per atom: -629

Material: LiTcPRu
Method: DFT, PBE
State: optimized geometry

```
16
Lattice="5.767 0.000 0.000 0.000 5.767 0.000 0.000 0.000 5.767" Properties=species:S:1:pos:R:3 pbc="T T T"
Li 0.000 0.000 0.000
Li 0.000 2.884 2.884
Li 2.884 0.000 2.884
Li 2.884 2.884 0.000
Tc 1.442 1.442 1.442
Tc 1.442 4.326 4.326
Tc 4.326 1.442 4.326
Tc 4.326 4.326 1.442
P 0.000 0.000 2.884
P 0.000 2.884 0.000
P 2.884 0.000 0.000
P 2.884 2.884 2.884
Ru 1.442 1.442 4.326
Ru 1.442 4.326 1.442
Ru 4.326 1.442 1.442
Ru 4.326 4.326 4.326
```

Formation energy, meV per atom: -256

Material: LiTiPRu2
Method: DFT, PBE
State: optimized geometry

```
5
Lattice="4.328 0.000 0.000 0.000 4.328 0.000 0.000 0.000 4.204" Properties=species:S:1:pos:R:3 pbc="T T T"
Li 0.000 0.000 0.000
Ti 2.164 2.164 0.000
P 0.000 0.000 2.102
Ru 0.000 2.164 2.102
Ru 2.164 0.000 2.102
```

Formation energy, meV per atom: 35

Material: LiTlPRu2
Method: DFT, PBE
State: optimized geometry

```
5
Lattice="5.010 0.000 0.000 0.000 5.010 0.000 0.000 0.000 4.465" Properties=species:S:1:pos:R:3 pbc="T T T"
Li 0.000 0.000 0.000
Tl 0.000 0.000 2.232
P 2.505 2.505 0.000
Ru 0.000 2.505 2.232
Ru 2.505 0.000 2.232
```

Formation energy, meV per atom: 1720

Material: LiPS4
Method: DFT, PBE
State: optimized geometry

```
12
Lattice="12.645 0.000 0.000 0.000 3.010 0.000 -1.680 0.000 6.162" Properties=species:S:1:pos:R:3 pbc="T T T"
Li 0.000 0.000 0.000
Li 6.322 1.505 0.000
P -0.840 1.505 3.081
P 5.483 0.000 3.081
S 0.655 0.000 2.449
S 0.113 1.505 5.110
S 4.529 0.000 1.052
S 3.987 1.505 3.713
S 6.978 1.505 2.449
S 6.436 0.000 5.110
S 10.852 1.505 1.052
S 10.310 0.000 3.713
```

Uncorrected formation energy, eV per atom: -0.06

Material: Li8P2S
Method: DFT, PBE
State: optimized geometry

```
11
Lattice="6.994 -2.103 0.000 6.994 2.103 0.000 -2.387 0.000 5.264" Properties=species:S:1:pos:R:3 pbc="T T T"
Li -0.542 0.000 1.201
Li 12.144 0.000 4.062
Li 1.019 0.000 3.643
Li 4.685 0.000 0.468
Li 3.432 0.000 3.215
Li 8.170 0.000 2.049
Li 6.916 0.000 4.796
Li 10.583 0.000 1.620
P 2.039 0.000 0.924
P 9.563 0.000 4.340
S 5.801 0.000 2.632
```

Uncorrected formation energy, eV per atom: -0.83

Material: LiP2S2
Method: DFT, PBE
State: optimized geometry

```
5
Lattice="4.336 0.000 0.000 0.000 4.336 0.000 0.000 0.000 4.394" Properties=species:S:1:pos:R:3 pbc="T T T"
Li 0.000 0.000 0.000
P 0.000 0.000 2.197
P 2.168 2.168 2.197
S 0.000 2.168 0.000
S 2.168 0.000 0.000
```

Uncorrected formation energy, eV per atom: 0.92
Excess energy over the best structure of this formula in the dataset, kcal/mol of atoms: 14.81

Material: Li3PS
Method: DFT, PBE
State: optimized geometry

```
5
Lattice="4.568 0.000 0.000 0.000 4.568 0.000 0.000 0.000 4.568" Properties=species:S:1:pos:R:3 pbc="T T T"
Li 0.000 0.000 2.284
Li 0.000 2.284 0.000
Li 2.284 0.000 0.000
P 2.284 2.284 2.284
S 0.000 0.000 0.000
```

Uncorrected formation energy, eV per atom: -0.45
Excess energy over the best structure of this formula in the dataset, kcal/mol of atoms: 0.00

Material: LiPS3
Method: DFT, PBE
State: optimized geometry

```
5
Lattice="4.554 0.000 0.000 0.000 4.554 0.000 0.000 0.000 4.554" Properties=species:S:1:pos:R:3 pbc="T T T"
Li 0.000 0.000 0.000
P 2.277 2.277 2.277
S 0.000 2.277 2.277
S 2.277 0.000 2.277
S 2.277 2.277 0.000
```

Uncorrected formation energy, eV per atom: 0.08
Excess energy over the best structure of this formula in the dataset, kcal/mol of atoms: 14.94

Material: Li7P3S11
Method: DFT, PBE
State: optimized geometry

```
42
Lattice="6.323 0.000 0.000 -2.637 12.121 0.000 -2.782 -4.497 11.393" Properties=species:S:1:pos:R:3 pbc="T T T"
Li -1.460 2.692 4.364
Li -1.107 7.298 2.293
Li -3.682 5.550 11.387
Li -0.557 -0.649 6.807
Li -1.454 2.306 8.560
Li -1.850 7.996 7.005
Li 1.427 1.579 2.313
Li -0.522 6.045 9.080
Li 2.755 -0.372 4.388
Li 2.359 5.318 2.833
Li 1.461 8.273 4.586
Li 4.586 2.074 0.005
Li 2.012 0.326 9.099
Li 2.365 4.932 7.028
P -0.571 -0.683 2.592
P -1.361 -0.918 10.830
P -0.721 6.074 5.023
P 1.625 1.550 6.369
P 2.266 8.542 0.563
P 1.475 8.307 8.801
S -1.011 1.302 2.306
S -4.073 9.052 7.083
S -3.244 -0.335 11.207
S -1.497 5.024 3.428
S -1.177 -3.062 10.518
S -1.538 5.521 6.830
S -1.207 11.108 2.332
S -0.416 1.834 6.350
S -1.093 8.073 4.684
S -0.508 0.113 9.313
S -1.694 4.178 10.276
S 2.598 3.446 1.117
S 1.413 7.511 2.080
S 1.997 -0.449 6.709
S 1.320 5.790 5.043
S 2.111 -3.484 9.060
S 2.442 2.103 4.562
S 2.082 10.686 0.874
S 2.401 2.600 7.964
S 4.149 7.959 0.186
S 4.977 -1.429 4.310
S 1.915 6.322 9.087
```

Uncorrected formation energy, eV per atom: -0.84

Material: Li2PS3
Method: DFT, PBE
State: optimized geometry

```
24
Lattice="6.438 0.000 0.000 0.000 10.669 0.000 0.000 0.000 6.159" Properties=species:S:1:pos:R:3 pbc="T T T"
Li 0.003 0.888 1.497
Li 0.003 4.446 1.497
Li 6.435 6.223 4.662
Li 6.435 9.781 4.662
Li 3.222 0.888 1.582
Li 3.222 4.446 1.582
Li 3.216 6.223 4.577
Li 3.216 9.781 4.577
P 1.347 2.667 4.620
P 1.872 8.002 1.541
P 4.566 2.667 4.618
P 5.091 8.002 1.539
S 1.600 2.667 2.597
S 1.594 6.250 2.549
S 1.594 9.753 2.549
S 1.626 0.916 5.629
S 1.626 4.419 5.629
S 1.620 8.002 5.676
S 4.819 2.667 0.483
S 4.813 6.250 0.530
S 4.813 9.753 0.530
S 4.845 0.916 3.610
S 4.845 4.419 3.610
S 4.839 8.002 3.562
```

Uncorrected formation energy, eV per atom: -0.72
Excess energy over the best structure of this formula in the dataset, kcal/mol of atoms: 1.45

Material: Li3PS4
Method: DFT, PBE
State: optimized geometry

```
16
Lattice="7.755 0.000 0.000 0.000 6.638 0.000 0.000 0.000 6.241" Properties=species:S:1:pos:R:3 pbc="T T T"
Li 0.000 0.958 0.000
Li 1.891 2.105 3.067
Li 1.987 4.533 6.187
Li 3.878 5.679 3.120
Li 5.769 4.533 6.187
Li 5.865 2.105 3.067
P 0.000 5.429 3.066
P 3.878 1.209 6.186
S 0.000 0.733 3.755
S 0.000 5.377 1.005
S 1.693 4.468 3.747
S 2.185 2.170 0.626
S 3.878 1.261 4.125
S 3.878 5.905 0.635
S 5.570 2.170 0.626
S 6.063 4.468 3.747
```

Uncorrected formation energy, eV per atom: -0.94

Material: LiP2S2
Method: DFT, PBE
State: optimized geometry

```
5
Lattice="4.697 0.000 0.000 0.000 4.697 0.000 0.000 0.000 4.381" Properties=species:S:1:pos:R:3 pbc="T T T"
Li 0.000 0.000 0.000
P 2.348 2.348 0.000
P 2.348 2.348 2.190
S 0.000 2.348 2.190
S 2.348 0.000 2.190
```

Uncorrected formation energy, eV per atom: 0.28
Excess energy over the best structure of this formula in the dataset, kcal/mol of atoms: 0.00

Material: Li3P5S12
Method: DFT, PBE
State: optimized geometry

```
80
Lattice="-7.297 7.297 7.297 7.297 -7.297 7.297 7.297 7.297 -7.297" Properties=species:S:1:pos:R:3 pbc="T T T"
Li 3.649 1.824 0.000
Li 7.297 3.649 -1.824
Li 1.824 0.000 3.649
Li 9.122 0.000 3.649
Li 0.000 3.649 1.824
Li 3.649 -1.824 7.297
Li 3.649 9.122 0.000
Li 7.297 3.649 5.473
Li -1.824 7.297 3.649
Li 5.473 7.297 3.649
Li 0.000 3.649 9.122
Li 3.649 5.473 7.297
P 0.000 0.000 0.000
P 3.649 3.649 -3.649
P 3.649 -3.649 3.649
P 7.297 0.000 0.000
P 10.946 1.824 0.000
P 7.297 -3.649 5.473
P 5.473 7.297 -3.649
P 5.473 0.000 3.649
P 3.649 5.473 0.000
P 7.297 3.649 1.824
P -3.649 3.649 3.649
P 0.000 7.297 0.000
P 0.000 0.000 7.297
P 3.649 3.649 3.649
P 0.000 3.649 5.473
P 3.649 1.824 7.297
P 1.824 7.297 3.649
P 1.824 0.000 10.946
P 0.000 10.946 1.824
P -3.649 5.473 7.297
S 2.253 -0.480 0.789
S 8.693 4.437 -4.129
S 9.550 0.480 0.789
S 8.693 -2.860 4.129
S 6.817 -0.789 2.253
S 11.426 -1.396 2.860
S 0.789 2.253 -0.480
S 10.157 3.168 -1.396
S 4.437 4.129 -1.396
S 6.509 2.253 0.480
S -0.480 0.789 2.253
S 4.129 -1.396 4.437
S 6.817 6.509 -2.253
S 4.129 1.396 2.860
S 4.437 -4.129 8.693
S 6.509 -2.253 6.817
S 2.860 4.129 1.396
S 8.086 5.044 0.480
S 4.129 8.693 -2.860
S 6.817 0.789 5.044
S 2.253 6.817 -0.789
S 8.693 2.860 3.168
S 1.396 2.860 4.129
S 2.253 0.480 6.509
S 5.044 6.817 0.789
S 5.902 4.437 3.168
S -1.396 4.437 4.129
S 5.044 0.480 8.086
S 0.480 6.509 2.253
S 3.168 -1.396 10.157
S -0.789 2.253 6.817
S 4.437 3.168 5.902
S 0.789 9.550 0.480
S 2.860 11.426 -1.396
S 3.168 5.902 4.437
S 0.480 0.789 9.550
S 3.168 8.693 2.860
S 7.778 6.509 5.044
S 0.789 5.044 6.817
S 2.860 3.168 8.693
S -2.860 4.129 8.693
S 6.509 5.044 7.778
S -4.129 8.693 4.437
S 0.480 8.086 5.044
S -1.396 10.157 3.168
S -2.253 6.817 6.509
S -1.396 2.860 11.426
S 5.044 7.778 6.509
```

Uncorrected formation energy, eV per atom: -0.26

Material: Li2PS3
Method: DFT, PBE
State: optimized geometry

```
12
Lattice="4.107 0.000 0.000 0.000 11.109 0.000 0.000 0.000 5.247" Properties=species:S:1:pos:R:3 pbc="T T T"
Li 0.000 1.781 0.000
Li 0.000 9.328 0.000
Li 2.054 3.774 2.623
Li 2.054 7.335 2.623
P 0.000 5.554 5.130
P 2.054 0.000 2.506
S 0.000 0.000 3.485
S 0.000 3.868 3.936
S 0.000 7.241 3.936
S 2.054 1.687 1.312
S 2.054 5.554 0.861
S 2.054 9.422 1.312
```

Uncorrected formation energy, eV per atom: -0.78
Excess energy over the best structure of this formula in the dataset, kcal/mol of atoms: 0.00

Material: Li3PS4
Method: DFT, PBE
State: optimized geometry

```
16
Lattice="5.602 0.000 0.000 0.000 5.602 0.000 0.000 0.000 10.165" Properties=species:S:1:pos:R:3 pbc="T T T"
Li 0.000 0.000 0.000
Li 0.000 2.801 2.541
Li 0.000 2.801 7.624
Li 2.801 0.000 2.541
Li 2.801 0.000 7.624
Li 2.801 2.801 5.082
P 0.000 0.000 5.082
P 2.801 2.801 0.000
S 1.192 1.192 6.272
S 1.192 4.411 3.893
S 1.610 1.610 1.190
S 1.610 3.993 8.975
S 3.993 1.610 8.975
S 3.993 3.993 1.190
S 4.411 1.192 3.893
S 4.411 4.411 6.272
```

Uncorrected formation energy, eV per atom: -0.92

Material: LiPS3
Method: DFT, PBE
State: optimized geometry

```
5
Lattice="4.352 0.000 0.000 0.000 4.352 0.000 0.000 0.000 4.352" Properties=species:S:1:pos:R:3 pbc="T T T"
Li 0.000 0.000 0.000
P 2.176 2.176 2.176
S 0.000 0.000 2.176
S 0.000 2.176 0.000
S 2.176 0.000 0.000
```

Uncorrected formation energy, eV per atom: 0.83
Excess energy over the best structure of this formula in the dataset, kcal/mol of atoms: 32.14

| no. | M_tot (μB per cell) | calculated volume (Å³/cell) | calculated total energy (eV per formula unit) |
| --- | --- | --- | --- |
| 1 | 0.0 | 79.8 | -28.2 |
| 2 | 1.1 | 125.2 | -23.6 |
| 3 | 0.0 | 192.8 | -20.6 |
| 4 | 0.0 | 150.0 | -35.5 |
| 5 | 0.0 | 191.8 | -28.0 |
| 6 | 0.0 | 78.8 | -33.6 |
| 7 | 3.1 | 112.0 | -19.6 |
| 8 | 0.0 | 234.5 | -24.2 |
| 9 | 0.0 | 154.9 | -39.3 |
| 10 | 0.0 | 82.6 | -16.4 |
| 11 | 2.0 | 95.3 | -17.6 |
| 12 | 0.0 | 94.4 | -19.3 |
| 13 | 0.0 | 873.1 | -92.6 |
| 14 | 0.0 | 423.1 | -25.9 |
| 15 | 0.0 | 321.3 | -35.1 |
| 16 | 0.0 | 96.6 | -19.6 |
| 17 | 0.0 | 1554.4 | -87.5 |
| 18 | 0.0 | 239.4 | -26.3 |
| 19 | 0.0 | 319.0 | -35.1 |
| 20 | 0.0 | 82.4 | -15.6 |